[1]
Below is crystalline HfNb2Al2 at its relaxed geometry, with properties calculated at the PBE level.

Properties
Energy relative to the elements (eV/atom): 0.2163

Lattice parameters (Å, degrees): 3.8095 3.8095 7.2320 74.73 74.73 90.00
Closest atoms and distances in Å follow each position.
Fractional coordinates of all 5 atoms:
Al  0.7500  0.2500  0.5000  4 Al 2.69, 4 Nb 2.81
Nb  0.4040  0.4040  0.1920  1 Nb 2.58, 4 Al 2.81
Hf  0.0000  0.0000  0.0000  8 Nb 2.99
Nb  0.5960  0.5960  0.8080  1 Nb 2.58, 4 Al 2.81
Al  0.2500  0.7500  0.5000  4 Al 2.69, 4 Nb 2.81

[2]
Below is crystalline LiAu2 at its relaxed geometry, with properties calculated at the PBE level.

Properties
Energy relative to the elements (eV/atom): -0.4020

Lattice parameters (Å, degrees): 2.9031 4.6919 7.5149 90.00 101.14 90.00
Closest atoms and distances in Å follow each position.
Fractional coordinates of all 6 atoms:
Li  0.8914  0.2500  0.7827  10 Au 2.81-2.92, 2 Li 2.90
Li  0.1086  0.7500  0.2173  10 Au 2.81-2.92, 2 Li 2.90
Au  0.4456  0.7500  0.8912  6 Li 2.81-2.87, 6 Au 2.84-2.93
Au  0.5544  0.2500  0.1088  6 Li 2.81-2.87, 6 Au 2.84-2.93
Au  0.2266  0.2500  0.4533  4 Li 2.83-2.92, 8 Au 2.84-2.93
Au  0.7734  0.7500  0.5467  4 Li 2.83-2.92, 8 Au 2.84-2.93

[3]
Below is crystalline CsNa2SeF at its relaxed geometry, with properties calculated at the PBE level.

Properties
E_form (uncorrected) (kJ per mole of atoms): -143.76

Lattice parameters (Å, degrees): 4.9780 4.9780 5.4840 90.00 90.00 90.00
Closest atoms and distances in Å follow each position.
Fractional coordinates of all 5 atoms:
F  0.0000  0.0000  0.0000  4 Na 2.49, 2 Cs 2.74
Na  0.0000  0.5000  0.0000  2 F 2.49
Se  0.5000  0.5000  0.5000  4 Cs 3.52, 8 Na 3.70
Na  0.5000  0.0000  0.0000  2 F 2.49
Cs  0.0000  0.0000  0.5000  2 F 2.74

[4]
Below is crystalline ZrCoNi3 at its relaxed geometry, with properties calculated at the PBE level.

Properties
Energy relative to the elements (eV/atom): 1.4698

Lattice parameters (Å, degrees): 4.5236 4.5236 4.5236 90.00 90.00 90.00
Closest atoms and distances in Å follow each position.
Fractional coordinates of all 5 atoms:
Ni  0.0000  0.0000  0.5000  2 Zr 2.26
Ni  0.5000  0.0000  0.0000  2 Zr 2.26
Zr  0.0000  0.0000  0.0000  6 Ni 2.26
Co  0.5000  0.5000  0.5000  12 Ni 3.20
Ni  0.0000  0.5000  0.0000  2 Zr 2.26

[5]
Below is crystalline CrTc2Br at its relaxed geometry, with properties calculated at the PBE level.

Properties
E_form (uncorrected) (kJ per mole of atoms): 52.03

Lattice parameters (Å, degrees): 8.7630 8.7630 8.7630 18.88 18.88 18.88
Closest atoms and distances in Å follow each position.
Fractional coordinates of all 4 atoms:
Tc  0.0021  0.0021  0.0021  9 Tc 2.63-2.87, 3 Cr 2.71
Tc  0.2565  0.2565  0.2565  9 Tc 2.63-2.87
Cr  0.7516  0.7516  0.7516  3 Br 2.48, 3 Tc 2.71
Br  0.4898  0.4898  0.4898  3 Cr 2.48

[6]
Below is crystalline Sr2In3Sn at its relaxed geometry, with properties calculated at the PBE level.

Properties
Energy relative to the elements (eV/atom): -0.4578

Lattice parameters (Å, degrees): 4.9710 6.5264 6.7128 73.84 68.27 67.61
Closest atoms and distances in Å follow each position.
Fractional coordinates of all 6 atoms:
Sr  0.4440  0.8042  0.3078  3 Sn 3.48-3.57, 7 In 3.54-3.73
In  0.8349  0.6222  0.7079  3 In 2.98-3.05, 1 Sn 3.12
Sr  0.5561  0.1968  0.6910  8 In 3.45-3.78, 2 Sn 3.53
In  0.1612  0.7669  0.9106  3 In 2.98-3.14, 1 Sn 3.09
Sn  0.1586  0.3816  0.3013  4 In 3.05-3.12
In  0.8452  0.2283  0.0814  2 In 3.05-3.14, 2 Sn 3.05

[7]
Below is crystalline LiPr2NbO6 at its relaxed geometry, with properties calculated at the PBE level.

Properties
E_form (uncorrected) (kJ per mole of atoms): -284.51

Lattice parameters (Å, degrees): 5.5868 5.8951 7.9592 90.00 89.12 90.00
Closest atoms and distances in Å follow each position.
Fractional coordinates of all 20 atoms:
O  0.3925  0.9605  0.7415  1 Nb 2.02, 1 Li 2.16
Pr  0.0165  0.9349  0.2525  5 O 2.37-2.63
Nb  0.5000  0.0000  0.5000  6 O 2.01-2.03
O  0.8191  0.7876  0.9406  1 Nb 2.03, 1 Li 2.22
O  0.7064  0.3157  0.9492  1 Nb 2.01, 1 Li 2.22
O  0.7936  0.8157  0.5508  1 Nb 2.01, 1 Li 2.22
O  0.1809  0.2124  0.0594  1 Nb 2.03, 1 Li 2.22
O  0.1075  0.4605  0.7585  1 Nb 2.02, 1 Li 2.16
O  0.8925  0.5395  0.2415  1 Nb 2.02, 1 Li 2.16
O  0.2936  0.6843  0.0508  1 Nb 2.01, 1 Li 2.22
O  0.3191  0.7124  0.4406  1 Nb 2.03, 1 Li 2.22
Li  0.5000  0.0000  0.0000  6 O 2.16-2.22
Pr  0.9835  0.0651  0.7475  5 O 2.37-2.63
Pr  0.4835  0.4349  0.2475  5 O 2.37-2.63
Pr  0.5165  0.5651  0.7525  5 O 2.37-2.63
O  0.6809  0.2876  0.5594  1 Nb 2.03, 1 Li 2.22
O  0.6075  0.0395  0.2585  1 Nb 2.02, 1 Li 2.16
Nb  0.0000  0.5000  0.0000  6 O 2.01-2.03
Li  0.0000  0.5000  0.5000  6 O 2.16-2.22
O  0.2064  0.1843  0.4492  1 Nb 2.01, 1 Li 2.22

[8]
Below is crystalline ErH4Ir at its relaxed geometry, with properties calculated at the PBE level.

Properties
Final energy (eV/atom): -4.9435

Lattice parameters (Å, degrees): 3.7810 4.4314 4.4315 61.61 64.74 64.74
Closest atoms and distances in Å follow each position.
Fractional coordinates of all 6 atoms:
H  0.6764  0.0956  0.5570  1 Ir 1.67
H  0.3273  0.4444  0.9058  1 Ir 1.67
H  0.3273  0.9099  0.4404  1 Ir 1.67
Ir  0.5019  0.0027  0.9987  4 H 1.67
H  0.6764  0.5610  0.0916  1 Ir 1.67
Er  0.0018  0.5028  0.4987  12 H 2.45-2.47